Compound: NbRh2
Source: the Alexandria database
Functional: PBE-GGA
Structure: relaxed

Calculated values
Uncorrected energy, eV per atom: -8.647
V, Å³ per atom: 15.4
Magnetization, μB per cell: 0.0
Mass density, Mg/m³: 10.74
Calculated formation energy, kJ per mole of atoms: -38

a b c (Å): 4.8278 2.8291 6.9927
angles (deg): 90.00 104.70 90.00
Closest atoms and distances in Å follow each position.
Space group Pm (No. 6)
Unique sites:
Nb 0.0000 0.0000 0.0000 (multiplicity 1)  9 Rh 2.70-2.82, 2 Nb 2.83
Nb 0.2514 0.0000 0.6396 (multiplicity 1)  9 Rh 2.67-2.85, 2 Nb 2.83
Rh 0.4546 0.0000 0.3176 (multiplicity 1)  2 Nb 2.67-2.70, 10 Rh 2.74-2.86
Rh 0.4903 0.5000 0.9836 (multiplicity 1)  6 Rh 2.77-2.85, 6 Nb 2.78-2.82
Rh 0.7476 0.5000 0.6598 (multiplicity 1)  6 Nb 2.75-2.85, 6 Rh 2.76-2.85
Rh 0.9416 0.5000 0.3210 (multiplicity 1)  4 Nb 2.73-2.74, 8 Rh 2.74-2.86

Compound: ThPaNiAu
Source: the Alexandria database
Functional: PBE-GGA
Structure: relaxed

Calculated values
Uncorrected energy, eV per atom: -6.685
V, Å³ per atom: 22.5
Magnetization, μB per cell: 0.3
Mass density, Mg/m³: 13.24
Calculated formation energy, kJ per mole of atoms: -18

a b c (Å): 7.1169 7.1169 7.1169
angles (deg): 90.00 90.00 90.00
Closest atoms and distances in Å follow each position.
Space group F-43m (No. 216)
Unique sites:
Th 0.0000 0.0000 0.0000 (multiplicity 4)  4 Au 3.08, 4 Ni 3.08
Pa 0.0000 0.0000 0.5000 (multiplicity 4)  4 Ni 3.08, 4 Au 3.08
Ni 0.2500 0.2500 0.2500 (multiplicity 4)  4 Th 3.08, 4 Pa 3.08
Au 0.2500 0.2500 0.7500 (multiplicity 4)  4 Pa 3.08, 4 Th 3.08

Compound: Pr2InNi9
Source: the Alexandria database
Functional: PBE-GGA
Structure: relaxed

Calculated values
Uncorrected energy, eV per atom: -5.528
V, Å³ per atom: 14.8
Magnetization, μB per cell: 3.1
Mass density, Mg/m³: 8.65
Calculated formation energy, kJ per mole of atoms: -16

a b c (Å): 4.9736 4.9736 24.8596
angles (deg): 90.00 90.00 120.00
Closest atoms and distances in Å follow each position.
Space group R-3m (No. 166, hexagonal axes)
Unique sites:
Pr 0.0000 0.0000 0.1354 (multiplicity 6)  9 Ni 2.85-2.98
In 0.0000 0.0000 0.0000 (multiplicity 3)  18 Ni 2.87-3.18
Ni 0.0000 0.0000 0.3327 (multiplicity 6)  6 Ni 2.44-2.46
Ni 0.0000 0.0000 0.5000 (multiplicity 3)  6 Ni 2.59
Ni 0.0007 0.5004 0.0797 (multiplicity 18)  7 Ni 2.44-2.59

Compound: K2GeRu
Source: the Alexandria database
Functional: PBE-GGA
Structure: relaxed

Calculated values
Uncorrected energy, eV per atom: -3.534
V, Å³ per atom: 47.0
Magnetization, μB per cell: 2.2
Mass density, Mg/m³: 2.23
Calculated formation energy, kJ per mole of atoms: 47

a b c (Å): 12.7221 12.7221 4.6448
angles (deg): 90.00 90.00 90.00
Closest atoms and distances in Å follow each position.
Space group I-42d (No. 122)
Unique sites:
K 0.0096 0.2500 0.1250 (multiplicity 8)  2 Ru 3.24
Ge 0.0000 0.0000 0.5000 (multiplicity 4)  2 Ru 2.32
Ru 0.0000 0.0000 0.0000 (multiplicity 4)  2 Ge 2.32

Compound: YAl2IrO8
Source: the Alexandria database
Functional: PBE-GGA
Structure: relaxed

Calculated values
Uncorrected energy, eV per atom: -7.235
V, Å³ per atom: 11.1
Magnetization, μB per cell: 1.0
Uncorrected formation energy, eV/atom: -2.03
Mass density, Mg/m³: 5.77

a b c (Å): 4.6237 6.2139 4.6355
angles (deg): 90.00 90.34 90.00
Closest atoms and distances in Å follow each position.
Space group P2/m (No. 10)
Unique sites:
Y 0.0000 0.0000 0.0000 (multiplicity 1)  6 O 2.16-2.25
Al 0.5000 0.2479 0.5000 (multiplicity 2)  6 O 1.89-2.05
Ir 0.0000 0.5000 0.0000 (multiplicity 1)  6 O 1.93-1.96
O 0.2144 0.2845 0.2116 (multiplicity 4)  1 Al 1.89, 1 Ir 1.93
O 0.2981 0.5000 0.6998 (multiplicity 2)  1 Ir 1.96, 2 Al 2.05
O 0.3269 0.0000 0.6702 (multiplicity 2)  2 Al 1.91

Compound: Ac3SmCo
Source: the Alexandria database
Functional: PBE-GGA
Structure: relaxed

Calculated values
Uncorrected energy, eV per atom: -4.751
V, Å³ per atom: 36.9
Magnetization, μB per cell: 0.0
Mass density, Mg/m³: 8.02
Calculated formation energy, kJ per mole of atoms: 8

a b c (Å): 5.6907 5.6907 5.6907
angles (deg): 90.00 90.00 90.00
Closest atoms and distances in Å follow each position.
Space group Pm-3m (No. 221)
Unique sites:
Ac 0.0000 0.0000 0.5000 (multiplicity 3)  2 Co 2.85
Sm 0.5000 0.5000 0.5000 (multiplicity 1)  12 Ac 4.02
Co 0.0000 0.0000 0.0000 (multiplicity 1)  6 Ac 2.85

Compound: Sr3FeW
Source: the Alexandria database
Functional: PBE-GGA
Structure: relaxed

Calculated values
Uncorrected energy, eV per atom: -3.881
V, Å³ per atom: 36.9
Magnetization, μB per cell: 6.6
Mass density, Mg/m³: 4.53
Calculated formation energy, kJ per mole of atoms: 136

a b c (Å): 5.6910 5.6910 5.6910
angles (deg): 90.00 90.00 90.00
Closest atoms and distances in Å follow each position.
Space group Pm-3m (No. 221)
Unique sites:
Sr 0.0000 0.0000 0.5000 (multiplicity 3)  2 Fe 2.85
Fe 0.0000 0.0000 0.0000 (multiplicity 1)  6 Sr 2.85
W 0.5000 0.5000 0.5000 (multiplicity 1)  12 Sr 4.02

Compound: KCa2TiBr8
Source: the Alexandria database
Functional: PBE-GGA
Structure: relaxed

Calculated values
Uncorrected energy, eV per atom: -3.836
V, Å³ per atom: 33.4
Magnetization, μB per cell: 1.0
Uncorrected formation energy, eV/atom: -1.64
Mass density, Mg/m³: 3.34

a b c (Å): 6.5468 8.9080 6.8811
angles (deg): 90.00 90.69 90.00
Closest atoms and distances in Å follow each position.
Space group P2/m (No. 10)
Unique sites:
K 0.0000 0.0000 0.0000 (multiplicity 1)  6 Br 3.11-3.22
Ca 0.5000 0.2534 0.5000 (multiplicity 2)  6 Br 2.87-3.04
Ti 0.0000 0.5000 0.0000 (multiplicity 1)  6 Br 2.58-2.72
Br 0.2290 0.2967 0.1575 (multiplicity 4)  1 Ti 2.58
Br 0.2460 0.5000 0.6841 (multiplicity 2)  1 Ti 2.72, 2 Ca 3.04
Br 0.2695 0.0000 0.6316 (multiplicity 2)  2 Ca 2.87, 1 K 3.11

Compound: ZrInCl2
Source: the Alexandria database
Functional: PBE-GGA
Structure: relaxed

Calculated values
Uncorrected energy, eV per atom: -4.055
V, Å³ per atom: 21.3
Magnetization, μB per cell: 0.0
Uncorrected formation energy, eV/atom: -0.31
Mass density, Mg/m³: 5.40

a b c (Å): 6.9837 6.9837 6.9837
angles (deg): 90.00 90.00 90.00
Closest atoms and distances in Å follow each position.
Space group Fm-3m (No. 225)
Unique sites:
Zr 0.0000 0.0000 0.0000 (multiplicity 4)  8 Cl 3.02
In 0.0000 0.0000 0.5000 (multiplicity 4)  8 Cl 3.02
Cl 0.2500 0.2500 0.2500 (multiplicity 8)  4 Zr 3.02, 4 In 3.02

Compound: K2Dy2PtO6
Source: the Alexandria database
Functional: PBE-GGA
Structure: relaxed

Calculated values
Uncorrected energy, eV per atom: -6.445
V, Å³ per atom: 16.8
Magnetization, μB per cell: 0.0
Uncorrected formation energy, eV/atom: -2.16
Mass density, Mg/m³: 6.24

a b c (Å): 5.8134 9.9843 6.5975
angles (deg): 90.00 105.22 90.00
Closest atoms and distances in Å follow each position.
Space group C2/m (No. 12)
Unique sites:
K 0.0000 0.1597 0.0000 (multiplicity 4)  6 O 2.72-3.00
Dy 0.0000 0.3355 0.5000 (multiplicity 4)  6 O 2.28-2.30
Pt 0.0000 0.0000 0.5000 (multiplicity 2)  6 O 2.10-2.12
O 0.2053 0.1572 0.6736 (multiplicity 8)  1 Pt 2.12, 2 Dy 2.28-2.30
O 0.2477 0.5000 0.6770 (multiplicity 4)  1 Pt 2.10, 2 Dy 2.29

Compound: ZnIn2Ge2
Source: the Alexandria database
Functional: PBE-GGA
Structure: relaxed

Calculated values
Uncorrected energy, eV per atom: -2.939
V, Å³ per atom: 25.3
Magnetization, μB per cell: 0.0
Mass density, Mg/m³: 5.78
Calculated formation energy, kJ per mole of atoms: 25

a b c (Å): 4.9512 4.9512 10.3287
angles (deg): 90.00 90.00 90.00
Closest atoms and distances in Å follow each position.
Space group I4/mmm (No. 139)
Unique sites:
Zn 0.0000 0.0000 0.0000 (multiplicity 2)  8 In 3.58, 10 Ge 3.71-3.94
In 0.0000 0.5000 0.2500 (multiplicity 4)  4 Ge 2.83
Ge 0.0000 0.0000 0.3819 (multiplicity 4)  1 Ge 2.44